# 1
A plane-wave DFT calculation with GGA-PBE was carried out for a relaxed structure of TbNi2Rh2.

E (eV/cell): -64.06
Calculated volume (Å³/atom): 16.492
Space-group type: No. 139
Formation enthalpy at 0 K (eV per atom): -0.23

Unit cell a=10.9605 b=10.9605 c=10.9605 alpha=159.27 beta=159.27 gamma=29.48
Closest atoms and distances in Å follow each position.
Element x y z (fractional)
1 Tb 0.1253 0.1253 0.0000  8 Ni 3.01-3.31, 8 Rh 3.03-3.30
2 Tb 0.8747 0.8747 0.0000  8 Ni 3.01-3.31, 8 Rh 3.03-3.30
3 Ni 0.0000 0.5000 0.5000  4 Rh 2.46
4 Ni 0.3211 0.3211 0.0000  5 Rh 2.32-2.48
5 Ni 0.5000 0.0000 0.5000  4 Rh 2.46
6 Ni 0.6789 0.6789 0.0000  5 Rh 2.32-2.48
7 Rh 0.2500 0.7500 0.5000  4 Ni 2.48
8 Rh 0.4303 0.4303 0.0000  5 Ni 2.32-2.46
9 Rh 0.5697 0.5697 0.0000  5 Ni 2.32-2.46
10 Rh 0.7500 0.2500 0.5000  4 Ni 2.48

***

# 2
A plane-wave DFT calculation with GGA-PBE was carried out for a relaxed structure of CrBPt3.

E (eV/cell): -34.69
Calculated volume (Å³/atom): 14.797
Offset from the most stable computed form (eV per formula unit): 0.000
Space-group type: No. 221
Formation enthalpy at 0 K (eV per atom): -0.05

Unit cell a=4.1981 b=4.1981 c=4.1981 alpha=90.00 beta=90.00 gamma=90.00
Closest atoms and distances in Å follow each position.
Element x y z (fractional)
1 Cr 0.0000 0.0000 0.0000  12 Pt 2.97
2 B 0.5000 0.5000 0.5000  6 Pt 2.10
3 Pt 0.0000 0.5000 0.5000  2 B 2.10
4 Pt 0.5000 0.0000 0.5000  2 B 2.10
5 Pt 0.5000 0.5000 0.0000  2 B 2.10

***

# 3
A plane-wave DFT calculation with GGA-PBE was carried out for a relaxed structure of Tm2Zn16Au.

E (eV/cell): -37.15
Calculated volume (Å³/atom): 16.066
Space-group type: No. 160
Formation enthalpy at 0 K (eV per atom): -0.24

Unit cell a=6.7849 b=6.7849 c=6.7849 alpha=82.66 beta=82.66 gamma=82.66
Closest atoms and distances in Å follow each position.
Element x y z (fractional)
1 Tm 0.0000 0.0000 0.0000  1 Au 3.06, 12 Zn 3.15-3.36
2 Tm 0.3280 0.3280 0.3280  19 Zn 3.07-3.43
3 Zn 0.0177 0.0177 0.5008  8 Zn 2.53-2.76
4 Zn 0.0177 0.5008 0.0177  8 Zn 2.53-2.76
5 Zn 0.1681 0.6615 0.6615  9 Zn 2.59-2.69, 1 Au 2.75
6 Zn 0.3095 0.3095 0.8276  8 Zn 2.53-2.77
7 Zn 0.3095 0.8276 0.3095  8 Zn 2.53-2.77
8 Zn 0.3649 0.6647 0.9629  8 Zn 2.59-2.77
9 Zn 0.3649 0.9629 0.6647  8 Zn 2.59-2.77
10 Zn 0.5008 0.0177 0.0177  8 Zn 2.53-2.76
11 Zn 0.5608 0.5608 0.5608  12 Zn 2.69-3.01, 1 Au 2.73
12 Zn 0.6615 0.1681 0.6615  9 Zn 2.59-2.69, 1 Au 2.75
13 Zn 0.6615 0.6615 0.1681  9 Zn 2.59-2.69, 1 Au 2.75
14 Zn 0.6647 0.3649 0.9629  8 Zn 2.59-2.77
15 Zn 0.6647 0.9629 0.3649  8 Zn 2.59-2.77
16 Zn 0.8276 0.3095 0.3095  8 Zn 2.53-2.77
17 Zn 0.9629 0.3649 0.6647  8 Zn 2.59-2.77
18 Zn 0.9629 0.6647 0.3649  8 Zn 2.59-2.77
19 Au 0.7679 0.7679 0.7679  13 Zn 2.73-3.01

***

# 4
A plane-wave DFT calculation with GGA-PBE was carried out for a relaxed structure of LiP2H.

E (eV/cell): -30.36
Calculated volume (Å³/atom): 13.098
Offset from the most stable computed form (eV per formula unit): 1.857
Space-group type: No. 122

Unit cell a=8.1857 b=8.1857 c=8.1857 alpha=154.06 beta=154.06 gamma=37.01
Closest atoms and distances in Å follow each position.
Element x y z (fractional)
1 Li 0.0000 0.0000 0.0000  4 P 2.44, 4 H 2.60
2 Li 0.7500 0.2500 0.5000  4 P 2.44, 4 H 2.60
3 P 0.1926 0.6250 0.0676  2 H 2.25, 2 P 2.27, 2 Li 2.44
4 P 0.3750 0.4426 0.5676  2 H 2.25, 2 P 2.27, 2 Li 2.44
5 P 0.5574 0.1250 0.9324  2 H 2.25, 2 P 2.27, 2 Li 2.44
6 P 0.8750 0.8074 0.4324  2 H 2.25, 2 P 2.27, 2 Li 2.44
7 H 0.2500 0.7500 0.5000  4 P 2.25
8 H 0.5000 0.5000 0.0000  4 P 2.25

***

# 5
A plane-wave DFT calculation with GGA-PBE was carried out for a relaxed structure of NpAl2Sb.

E (eV/cell): -25.14
Calculated volume (Å³/atom): 21.095
Energy relative to the elements, uncorrected (eV/atom): -0.15
Space-group type: No. 123

Unit cell a=4.3561 b=4.3561 c=4.4467 alpha=90.00 beta=90.00 gamma=90.00
Closest atoms and distances in Å follow each position.
Element x y z (fractional)
1 Np 0.0000 0.0000 0.0000  4 Sb 3.08, 8 Al 3.11
2 Al 0.0000 0.5000 0.5000  4 Al 3.08, 4 Sb 3.11, 4 Np 3.11
3 Al 0.5000 0.0000 0.5000  4 Al 3.08, 4 Sb 3.11, 4 Np 3.11
4 Sb 0.5000 0.5000 0.0000  4 Np 3.08, 8 Al 3.11

***

# 6
A plane-wave DFT calculation with GGA-PBE was carried out for a relaxed structure of SiAgP2.

E (eV/cell): -16.74
Calculated volume (Å³/atom): 16.283
Energy relative to the elements, uncorrected (eV/atom): 0.59
Space-group type: No. 139

Unit cell a=4.3999 b=4.3999 c=4.3999 alpha=112.25 beta=112.25 gamma=104.05
Closest atoms and distances in Å follow each position.
Element x y z (fractional)
1 Si 0.0000 0.0000 0.0000  2 Ag 2.71, 8 P 2.80
2 Ag 0.5000 0.5000 0.0000  2 Si 2.71, 8 P 2.80
3 P 0.2500 0.7500 0.5000  2 P 2.71, 4 Si 2.80, 4 Ag 2.80
4 P 0.7500 0.2500 0.5000  2 P 2.71, 4 Si 2.80, 4 Ag 2.80

***

# 7
A plane-wave DFT calculation with GGA-PBE was carried out for a relaxed structure of Tm4SiTe.

E (eV/cell): -57.43
Calculated volume (Å³/atom): 31.628
Energy relative to the elements, uncorrected (eV/atom): -0.38
Space-group type: No. 109

Unit cell a=7.9281 b=7.9281 c=7.9281 alpha=106.19 beta=106.19 gamma=116.25
Closest atoms and distances in Å follow each position.
Element x y z (fractional)
1 Tm 0.1495 0.4557 0.6939  1 Si 2.72, 2 Te 2.93-3.01
2 Tm 0.2057 0.0118 0.8061  1 Si 2.72, 2 Te 2.93-3.01
3 Tm 0.2057 0.3995 0.1939  1 Si 2.72, 2 Te 2.93-3.01
4 Tm 0.2841 0.0000 0.2841  2 Si 2.72-2.75, 1 Te 2.99
5 Tm 0.7159 0.0000 0.7159  2 Si 2.72-2.75, 1 Te 2.99
6 Tm 0.7500 0.5341 0.7841  2 Si 2.72-2.75, 1 Te 2.99
7 Tm 0.7500 0.9659 0.2159  2 Si 2.72-2.75, 1 Te 2.99
8 Tm 0.7618 0.4557 0.3061  1 Si 2.72, 2 Te 2.93-3.01
9 Si 0.7177 0.2177 0.5000  6 Tm 2.72-2.75
10 Si 0.9677 0.9677 0.0000  6 Tm 2.72-2.75
11 Te 0.2403 0.7403 0.5000  6 Tm 2.93-3.01
12 Te 0.4903 0.4903 0.0000  6 Tm 2.93-3.01

***

# 8
A plane-wave DFT calculation with GGA-PBE was carried out for a relaxed structure of PuAl3.

E (eV/cell): -80.37
Calculated volume (Å³/atom): 19.162
Space-group type: No. 166
Formation enthalpy at 0 K (eV per atom): -0.31

Unit cell a=8.0008 b=8.0008 c=8.0008 alpha=44.64 beta=44.64 gamma=44.64
Closest atoms and distances in Å follow each position.
Element x y z (fractional)
1 Pu 0.0000 0.0000 0.0000  12 Al 3.04
2 Pu 0.2217 0.2217 0.2217  12 Al 2.98-3.04
3 Pu 0.7783 0.7783 0.7783  12 Al 2.98-3.04
4 Al 0.0000 0.5000 0.5000  8 Al 2.96-3.04, 4 Pu 2.98-3.04
5 Al 0.2399 0.7122 0.7122  8 Al 2.87-3.21, 4 Pu 3.01-3.04
6 Al 0.2878 0.2878 0.7601  8 Al 2.87-3.21, 4 Pu 3.01-3.04
7 Al 0.2878 0.7601 0.2878  8 Al 2.87-3.21, 4 Pu 3.01-3.04
8 Al 0.5000 0.0000 0.5000  8 Al 2.96-3.04, 4 Pu 2.98-3.04
9 Al 0.5000 0.5000 0.0000  8 Al 2.96-3.04, 4 Pu 2.98-3.04
10 Al 0.7122 0.2399 0.7122  8 Al 2.87-3.21, 4 Pu 3.01-3.04
11 Al 0.7122 0.7122 0.2399  8 Al 2.87-3.21, 4 Pu 3.01-3.04
12 Al 0.7601 0.2878 0.2878  8 Al 2.87-3.21, 4 Pu 3.01-3.04

***

# 9
A plane-wave DFT calculation with GGA-PBE was carried out for a relaxed structure of SrV2Ir2.

E (eV/cell): -39.31
Calculated volume (Å³/atom): 19.219
Offset from the most stable computed form (eV per formula unit): 0.000
Space-group type: No. 139
Formation enthalpy at 0 K (eV per atom): -0.33

Unit cell a=6.0190 b=6.0190 c=6.0190 alpha=138.13 beta=138.13 gamma=60.70
Closest atoms and distances in Å follow each position.
Element x y z (fractional)
1 Sr 0.0000 0.0000 0.0000  8 Ir 3.34, 8 V 3.37
2 V 0.2500 0.7500 0.5000  4 Ir 2.47
3 V 0.7500 0.2500 0.5000  4 Ir 2.47
4 Ir 0.3679 0.3679 0.0000  4 V 2.47, 1 Ir 2.74
5 Ir 0.6321 0.6321 0.0000  4 V 2.47, 1 Ir 2.74

***

# 10
A plane-wave DFT calculation with GGA-PBE was carried out for a relaxed structure of Er3Si6Ni2Ir.

E (eV/cell): -71.23
Calculated volume (Å³/atom): 17.628
Energy relative to the elements, uncorrected (eV/atom): -0.38
Space-group type: No. 164

Unit cell a=5.6153 b=5.6153 c=7.7464 alpha=90.00 beta=90.00 gamma=120.00
Closest atoms and distances in Å follow each position.
Element x y z (fractional)
1 Er 0.0000 0.0000 0.0000  6 Si 2.86
2 Er 0.3333 0.6667 0.6118  9 Si 2.91-2.93
3 Er 0.6667 0.3333 0.3882  9 Si 2.91-2.93
4 Si 0.1895 0.3791 0.2818  1 Ni 2.34, 2 Si 2.42, 1 Ir 2.50
5 Si 0.1895 0.8105 0.2818  1 Ni 2.34, 2 Si 2.42, 1 Ir 2.50
6 Si 0.3791 0.1895 0.7182  1 Ni 2.34, 2 Si 2.42, 1 Ir 2.50
7 Si 0.6209 0.8105 0.2818  1 Ni 2.34, 2 Si 2.42, 1 Ir 2.50
8 Si 0.8105 0.1895 0.7182  1 Ni 2.34, 2 Si 2.42, 1 Ir 2.50
9 Si 0.8105 0.6209 0.7182  1 Ni 2.34, 2 Si 2.42, 1 Ir 2.50
10 Ni 0.3333 0.6667 0.0393  3 Si 2.34
11 Ni 0.6667 0.3333 0.9607  3 Si 2.34
12 Ir 0.0000 0.0000 0.5000  6 Si 2.50

***

Magnetization (computed, μB per formula unit): 1.8 4.9 0.0 0.0 3.9 0.0 0.0 1.8 0.0 0.0